DFT (GGA-PBE) results for an optimized crystal structure of Tb7PrHo3.

Output
- Formation energy from the elements: 195 meV per atom
- Energy above the most stable polymorph in this dataset: 57 meV/atom
- V: 373.87 Å³ per cell

Unit cell a=8.6101 b=7.0809 c=7.0809 alpha=120.00 beta=90.00 gamma=90.00
Last column: nearest neighbours and their distance in Å.
Element x y z (fractional)
Tb (0.1145, 0.1677, 0.8323)  1 Pr 3.50, 2 Ho 3.50, 8 Tb 3.52-3.56
Tb (0.1145, 0.1677, 0.3355)  1 Pr 3.50, 2 Ho 3.50, 8 Tb 3.52-3.56
Tb (0.1202, 0.6667, 0.3333)  9 Tb 3.49-3.54, 3 Ho 3.53
Tb (0.4507, 0.8320, 0.1680)  7 Tb 3.49-3.57, 2 Ho 3.52, 2 Pr 3.54
Tb (0.4507, 0.3359, 0.1680)  7 Tb 3.49-3.57, 2 Ho 3.52, 2 Pr 3.54
Tb (0.4507, 0.8320, 0.6641)  7 Tb 3.49-3.57, 2 Ho 3.52, 2 Pr 3.54
Tb (0.1145, 0.6645, 0.8323)  1 Pr 3.50, 2 Ho 3.50, 8 Tb 3.52-3.56
Pr (0.4449, 0.3333, 0.6667)  9 Tb 3.50-3.54, 3 Ho 3.57
Ho (0.7847, 0.5007, 0.4993)  5 Tb 3.50-3.53, 4 Ho 3.53-3.55, 1 Pr 3.57
Ho (0.7847, 0.5007, 0.0013)  5 Tb 3.50-3.53, 4 Ho 3.53-3.55, 1 Pr 3.57
Ho (0.7847, 0.9987, 0.4993)  5 Tb 3.50-3.53, 4 Ho 3.53-3.55, 1 Pr 3.57